(1)
Computed, not measured: crystalline AsRuPtN2 at its relaxed geometry at the PBE-GGA level of DFT.

a = 3.7824 Å, b = 3.7824 Å, c = 4.9653 Å
α = 90.00°, β = 90.00°, γ = 90.00°
Space group P4/mmm (No. 123)
Unique sites:
1 As 0.0000 0.0000 0.0000 x1
2 Ru 0.5000 0.5000 0.5000 x1
3 Pt 0.0000 0.0000 0.5000 x1
4 N 0.0000 0.5000 0.0000 x2

(2)
Computed, not measured: crystalline AsPtSN2 at its relaxed geometry at the PBE-GGA level of DFT.

a = 3.5385 Å, b = 3.5385 Å, c = 6.4834 Å
α = 90.00°, β = 90.00°, γ = 90.00°
Space group P4/mmm (No. 123)
Unique sites:
1 As 0.0000 0.0000 0.0000 x1
2 Pt 0.0000 0.0000 0.5000 x1
3 S 0.5000 0.5000 0.5000 x1
4 N 0.0000 0.5000 0.0000 x2

(3)
Computed, not measured: crystalline AsPtSN2 at its relaxed geometry at the PBE-GGA level of DFT.

a = 3.7026 Å, b = 3.7026 Å, c = 8.6416 Å
α = 90.00°, β = 90.00°, γ = 90.00°
Space group P4/mmm (No. 123)
Unique sites:
1 As 0.0000 0.0000 0.0000 x1
2 Pt 0.5000 0.5000 0.5000 x1
3 S 0.5000 0.5000 0.0000 x1
4 N 0.0000 0.5000 0.5000 x2

(4)
Computed, not measured: crystalline ScAsPtN2 at its relaxed geometry at the PBE-GGA level of DFT.

a = 3.7410 Å, b = 3.7410 Å, c = 6.0628 Å
α = 90.00°, β = 90.00°, γ = 90.00°
Space group P4/mmm (No. 123)
Unique sites:
1 Sc 0.0000 0.0000 0.0000 x1
2 As 0.0000 0.0000 0.5000 x1
3 Pt 0.5000 0.5000 0.0000 x1
4 N 0.0000 0.5000 0.5000 x2

(5)
Computed, not measured: crystalline As2PtSeN at its relaxed geometry at the PBE-GGA level of DFT.

a = 4.8086 Å, b = 4.8086 Å, c = 5.1205 Å
α = 90.00°, β = 90.00°, γ = 90.00°
Space group P4/mmm (No. 123)
Unique sites:
1 As 0.0000 0.5000 0.0000 x2
2 Pt 0.0000 0.0000 0.0000 x1
3 Se 0.0000 0.0000 0.5000 x1
4 N 0.5000 0.5000 0.5000 x1

(6)
Computed, not measured: crystalline As2PtSeN at its relaxed geometry at the PBE-GGA level of DFT.

a = 4.3625 Å, b = 4.3625 Å, c = 4.2024 Å
α = 90.00°, β = 90.00°, γ = 90.00°
Space group P4/mmm (No. 123)
Unique sites:
1 As 0.0000 0.5000 0.0000 x2
2 Pt 0.0000 0.0000 0.5000 x1
3 Se 0.5000 0.5000 0.5000 x1
4 N 0.5000 0.5000 0.0000 x1

(7)
Computed, not measured: crystalline Sr2AsPtN at its relaxed geometry at the PBE-GGA level of DFT.

a = 5.5620 Å, b = 5.5620 Å, c = 3.7810 Å
α = 90.00°, β = 90.00°, γ = 90.00°
Space group P4/mmm (No. 123)
Unique sites:
1 Sr 0.0000 0.5000 0.0000 x2
2 As 0.0000 0.0000 0.5000 x1
3 Pt 0.5000 0.5000 0.5000 x1
4 N 0.5000 0.5000 0.0000 x1

(8)
Computed, not measured: crystalline Te2AsPtN at its relaxed geometry at the PBE-GGA level of DFT.

a = 5.4681 Å, b = 5.4681 Å, c = 3.5196 Å
α = 90.00°, β = 90.00°, γ = 90.00°
Space group P4/mmm (No. 123)
Unique sites:
1 Te 0.0000 0.5000 0.0000 x2
2 As 0.0000 0.0000 0.0000 x1
3 Pt 0.5000 0.5000 0.5000 x1
4 N 0.0000 0.0000 0.5000 x1

(9)
Computed, not measured: crystalline Te2AsPtN at its relaxed geometry at the PBE-GGA level of DFT.

a = 5.5501 Å, b = 5.5501 Å, c = 3.6987 Å
α = 90.00°, β = 90.00°, γ = 90.00°
Space group P4/mmm (No. 123)
Unique sites:
1 Te 0.0000 0.5000 0.0000 x2
2 As 0.0000 0.0000 0.5000 x1
3 Pt 0.5000 0.5000 0.0000 x1
4 N 0.5000 0.5000 0.5000 x1

(10)
Computed, not measured: crystalline ZrAsPtN2 at its relaxed geometry at the PBE-GGA level of DFT.

a = 4.0266 Å, b = 4.0266 Å, c = 5.8611 Å
α = 90.00°, β = 90.00°, γ = 90.00°
Space group P4/mmm (No. 123)
Unique sites:
1 Zr 0.0000 0.0000 0.0000 x1
2 As 0.0000 0.0000 0.5000 x1
3 Pt 0.5000 0.5000 0.5000 x1
4 N 0.0000 0.5000 0.0000 x2

(11)
Computed, not measured: crystalline Pu6As3N at its relaxed geometry at the PBE-GGA level of DFT.

a = 11.2288 Å, b = 6.2401 Å, c = 7.7978 Å
α = 90.00°, β = 118.05°, γ = 90.00°
Space group C2/m (No. 12)
Unique sites:
1 Pu 0.0789 0.2470 0.3537 x8
2 Pu 0.2152 0.5000 0.8513 x4
3 As 0.0000 0.0000 0.0000 x2
4 As 0.2018 0.0000 0.7254 x4
5 N 0.0000 0.5000 0.5000 x2

(12)
Computed, not measured: crystalline Pu3As2N at its relaxed geometry at the PBE-GGA level of DFT.

a = 3.7987 Å, b = 5.6455 Å, c = 11.9404 Å
α = 90.00°, β = 90.00°, γ = 90.00°
Space group Immm (No. 71)
Unique sites:
1 Pu 0.0000 0.0000 0.0000 x2
2 Pu 0.0000 0.0000 0.3646 x4
3 As 0.0000 0.5000 0.3204 x4
4 N 0.0000 0.5000 0.0000 x2

Calculated total energy values, unit eV/atom, following the record order: -5.61, -4.94, -5.11, -5.68, -3.71, -4.65, -5.25, -4.13, -4.46, -6.30, -11.52, -11.05.